Entry 1:
The following is a PBE calculation of a relaxed NaSr2Zn crystal, from Alexandria.

```
4
Lattice="3.943 0.000 0.000 0.000 3.943 0.000 0.000 0.000 9.622" Properties=species:S:1:pos:R:3 pbc="T T T"
Sr 0.000 0.000 7.710
Sr 0.000 0.000 1.912
Zn 1.971 1.971 0.000
Na 1.971 1.971 4.811
```

- volume (Å³/f.u.) = 149.57
- calculated total energy (eV/atom) = -1.5850
- formation energy (eV per atom) = -0.10
- SG = No. 123

Entry 2:
The following is a PBE calculation of a relaxed Na2SrZn2 crystal, from Alexandria.

```
5
Lattice="-3.691 2.089 1.736 -1.829 0.254 -4.194 -5.795 -4.983 -0.277" Properties=species:S:1:pos:R:3 pbc="T T T"
Sr 0.000 0.000 0.000
Zn -3.314 0.047 -1.055
Zn -8.001 -2.688 -1.679
Na -6.123 -0.862 0.115
Na -5.192 -1.779 -2.850
```

- volume (Å³/f.u.) = 145.47
- calculated total energy (eV/atom) = -1.4081
- formation energy (eV per atom) = -0.03
- SG = No. 139

Entry 3:
The following is a PBE calculation of a relaxed NaSrZn crystal, from Alexandria.

```
6
Lattice="4.403 -0.024 0.015 2.180 3.812 0.008 -0.184 -0.035 13.462" Properties=species:S:1:pos:R:3 pbc="T T T"
Na 3.240 0.608 5.422
Na 3.159 3.145 8.064
Sr 5.316 1.848 11.313
Sr 1.083 1.905 2.172
Zn 3.301 0.620 0.027
Zn 3.097 3.133 13.459
```

- volume (Å³/f.u.) = 113.33
- calculated total energy (eV/atom) = -1.5200
- formation energy (eV per atom) = -0.10
- SG = No. 2